(1)
{"formula": "AcPm3Ni8", "functional": "PBE-GGA", "state": "optimized geometry", "lattice": [[-3.0401, 0.8097, 4.1329], [0.4029, -3.0792, 4.1635], [4.9848, 4.4609, 6.0566]], "species": ["Pm", "Pm", "Pm", "Ni", "Ni", "Ni", "Ni", "Ni", "Ni", "Ni", "Ni", "Ac"], "frac_coords": [[0.4973, 0.4973, 0.5081], [0.0022, 0.0022, 0.9933], [0.3738, 0.3738, 0.8786], [0.9367, 0.4348, 0.6919], [0.9367, 0.9367, 0.6919], [0.1870, 0.1870, 0.4391], [0.4392, 0.4392, 0.1823], [0.4392, 0.9393, 0.1823], [0.9393, 0.4392, 0.1823], [0.4348, 0.9367, 0.6919], [0.6878, 0.6878, 0.9366], [0.8760, 0.8760, 0.3719]]}

(2)
{"formula": "Ac12PmNi6", "functional": "PBE-GGA", "state": "optimized geometry", "lattice": [[-8.4419, -3.2021, -2.3022], [3.0684, -4.4909, 7.5655], [-0.5258, 9.1260, 1.8052]], "species": ["Ni", "Ni", "Ni", "Ni", "Ni", "Ni", "Ac", "Ac", "Ac", "Ac", "Ac", "Ac", "Ac", "Ac", "Ac", "Ac", "Ac", "Ac", "Pm"], "frac_coords": [[0.5000, 0.8830, 0.3830], [0.8830, 0.3830, 0.5000], [0.6170, 0.5000, 0.1170], [0.1170, 0.6170, 0.5000], [0.5000, 0.1170, 0.6170], [0.3830, 0.5000, 0.8830], [0.4979, 0.1832, 0.3147], [0.1315, 0.8168, 0.3147], [0.3147, 0.1315, 0.8168], [0.8685, 0.1832, 0.6853], [0.1832, 0.6853, 0.8685], [0.5021, 0.8168, 0.6853], [0.6853, 0.8685, 0.1832], [0.8168, 0.3147, 0.1315], [0.8168, 0.6853, 0.5021], [0.1832, 0.3147, 0.4979], [0.3147, 0.4979, 0.1832], [0.6853, 0.5021, 0.8168], [0.0000, 0.0000, 0.0000]]}

(3)
{"formula": "AcPmNi", "functional": "PBE-GGA", "state": "optimized geometry", "lattice": [[-0.4087, 0.5929, -3.8019], [-3.4597, -5.9526, -2.5372], [-4.9743, 3.4703, 3.0541]], "species": ["Pm", "Pm", "Ac", "Ac", "Ni", "Ni"], "frac_coords": [[0.3279, 0.9992, 0.0507], [0.4878, 0.2153, 0.5867], [0.7372, 0.6948, 0.5637], [0.0786, 0.5197, 0.0737], [0.7938, 0.2752, 0.2573], [0.0219, 0.9394, 0.3801]]}

(4)
{"formula": "AcPm12Ni6", "functional": "PBE-GGA", "state": "optimized geometry", "lattice": [[-7.7796, -3.1433, 2.6646], [0.1086, 0.4999, -8.7887], [6.4221, -5.3758, 2.7131]], "species": ["Pm", "Pm", "Pm", "Pm", "Pm", "Pm", "Pm", "Pm", "Pm", "Pm", "Pm", "Pm", "Ni", "Ni", "Ni", "Ni", "Ni", "Ni", "Ac"], "frac_coords": [[0.6850, 0.8705, 0.1855], [0.8145, 0.3150, 0.1295], [0.3150, 0.5005, 0.1855], [0.5005, 0.1855, 0.3150], [0.1855, 0.6850, 0.8705], [0.1855, 0.3150, 0.5005], [0.8705, 0.1855, 0.6850], [0.6850, 0.4995, 0.8145], [0.1295, 0.8145, 0.3150], [0.4995, 0.8145, 0.6850], [0.3150, 0.1295, 0.8145], [0.8145, 0.6850, 0.4995], [0.5000, 0.1214, 0.6214], [0.6214, 0.5000, 0.1214], [0.1214, 0.6214, 0.5000], [0.3786, 0.5000, 0.8786], [0.5000, 0.8786, 0.3786], [0.8786, 0.3786, 0.5000], [0.0000, 0.0000, 0.0000]]}

(5)
{"formula": "Ac3Pm4Ni4", "functional": "PBE-GGA", "state": "optimized geometry", "lattice": [[4.8794, 0.0000, 0.0000], [0.0000, 7.7212, 0.0000], [-2.4397, -3.8606, 7.8397]], "species": ["Pm", "Pm", "Pm", "Pm", "Ni", "Ni", "Ni", "Ni", "Ac", "Ac", "Ac"], "frac_coords": [[0.3285, 0.1111, 0.6569], [0.3285, 0.5458, 0.6569], [0.6715, 0.4542, 0.3431], [0.6715, 0.8889, 0.3431], [0.5000, 0.1605, 0.0000], [0.2078, 0.7078, 0.4156], [0.7922, 0.2922, 0.5844], [0.5000, 0.8395, 0.0000], [0.8941, 0.8941, 0.7882], [0.0000, 0.5000, 0.0000], [0.1059, 0.1059, 0.2118]]}

(6)
{"formula": "AcPmNi2", "functional": "PBE-GGA", "state": "optimized geometry", "lattice": [[-2.5012, 3.2224, 0.4287], [-2.7449, 0.0744, 3.0469], [2.9081, 4.1654, 5.2789]], "species": ["Ac", "Pm", "Ni", "Ni"], "frac_coords": [[0.6708, 0.6708, 0.9876], [0.4970, 0.4970, 0.5090], [0.2405, 0.2405, 0.2785], [0.0917, 0.0917, 0.7249]]}

(7)
{"formula": "AcPmNi4", "functional": "PBE-GGA", "state": "optimized geometry", "lattice": [[-0.3288, 3.4576, -2.0604], [0.4328, -2.0533, -3.5146], [-7.0335, -0.8790, -0.3524]], "species": ["Ac", "Ni", "Ni", "Ni", "Ni", "Pm"], "frac_coords": [[0.9985, 0.9973, 0.4981], [0.4987, 0.4973, 0.6708], [0.4986, 0.4973, 0.3254], [0.4986, 0.9973, 0.8359], [0.4987, 0.9973, 0.1604], [0.9984, 0.4973, 0.9981]]}

(8)
{"formula": "Ac3PmNi2", "functional": "PBE-GGA", "state": "optimized geometry", "lattice": [[4.0529, 0.0000, 0.8168], [1.7276, 8.6839, 1.8912], [-0.0323, -0.1163, 10.6236]], "species": ["Ni", "Ni", "Ni", "Ni", "Ac", "Ac", "Ac", "Ac", "Ac", "Ac", "Pm", "Pm"], "frac_coords": [[0.7657, 0.4198, 0.0487], [0.2327, 0.0832, 0.4515], [0.7673, 0.9168, 0.5485], [0.2343, 0.5802, 0.9513], [0.1572, 0.9385, 0.7470], [0.5852, 0.2802, 0.5494], [0.5868, 0.7660, 0.0604], [0.4132, 0.2340, 0.9396], [0.8428, 0.0615, 0.2530], [0.4148, 0.7198, 0.4506], [0.8373, 0.5631, 0.7623], [0.1627, 0.4369, 0.2377]]}

The records above give, respectively, M_tot values of 0.0, 0.0, 0.0, 0.0, 0.0, 0.0, 0.4, 0.0 Bohr magnetons per cell.
The records above give, respectively, density of states at the Fermi level values of 8.4, 22.1, 7.0, 22.4, 10.9, 2.1, 7.6, 15.4 states/eV/cell.
The records above give, respectively, ΔE_f values of -0.293, -0.165, -0.171, -0.184, -0.132, -0.132, -0.286, -0.187 eV/atom.